An optimized crystal structure of Y2ZrNi, computed with PBE-GGA.

Summary:
Its space group is No. 216. The calculation puts the calculated total energy at -26.1 eV for the cell shown. The calculation puts the density of states at the Fermi level at 6.46 states/eV/f.u. The distance to the lowest polymorph of the same formula comes out at 0.397 eV/atom. The value obtained for the energy relative to the elements is 278 meV per atom.

a = 5.0477 Å, b = 5.0477 Å, c = 5.0477 Å
α = 60.00°, β = 60.00°, γ = 60.00°
Last column: nearest neighbours and their distance in Å.
Element x y z (fractional)
Ni 0.5000 0.5000 0.5000  4 Y 3.09, 4 Zr 3.09
Y 0.0000 0.0000 0.0000  4 Zr 3.09, 4 Y 3.09
Y 0.2500 0.2500 0.2500  4 Y 3.09, 4 Ni 3.09
Zr 0.7500 0.7500 0.7500  4 Ni 3.09, 4 Y 3.09

An optimized crystal structure of Y3ZrNi, computed with PBE-GGA.

Summary:
Its space group is No. 221. The calculation puts the calculated total energy at -28.6 eV for the cell shown. The calculation puts the density of states at the Fermi level at 4.13 states/eV/f.u. The distance to the lowest polymorph of the same formula comes out at 0.866 eV/atom. The value obtained for the energy relative to the elements is 1029 meV per atom.

a = 5.4149 Å, b = 5.4149 Å, c = 5.4149 Å
α = 90.00°, β = 90.00°, γ = 90.00°
Last column: nearest neighbours and their distance in Å.
Element x y z (fractional)
Y 0.0000 0.5000 0.0000  2 Zr 2.71
Y 0.0000 0.0000 0.5000  2 Zr 2.71
Y 0.5000 0.0000 0.0000  2 Zr 2.71
Ni 0.5000 0.5000 0.5000  12 Y 3.83
Zr 0.0000 0.0000 0.0000  6 Y 2.71

An optimized crystal structure of YZr4Ni, computed with PBE-GGA.

Summary:
Its space group is No. 216. The calculation puts the calculated total energy at -43.8 eV for the cell shown. The calculation puts the density of states at the Fermi level at 8.54 states/eV/f.u. The value obtained for the energy relative to the elements is 447 meV per atom.

a = 5.8379 Å, b = 5.8379 Å, c = 5.8379 Å
α = 60.00°, β = 60.00°, γ = 60.00°
Last column: nearest neighbours and their distance in Å.
Element x y z (fractional)
Y 0.0000 0.0000 0.0000  12 Zr 3.42, 4 Ni 3.57
Zr 0.3745 0.8765 0.3745  6 Zr 2.91-2.93
Zr 0.8765 0.3745 0.3745  6 Zr 2.91-2.93
Zr 0.3745 0.3745 0.8765  6 Zr 2.91-2.93
Zr 0.3745 0.3745 0.3745  6 Zr 2.91-2.93
Ni 0.7500 0.7500 0.7500  12 Zr 3.42, 4 Y 3.57